Below is a relaxed structure of Er3Pu5H12, with properties calculated at the PBE level.

**Calculated total energy**: -6.53 eV per atom
**ρ**: 10.77 Mg/m³
**Size of the total moment**: 6.6 μB/f.u.

```
data_Er3Pu5H12
_cell_length_a 12.8826
_cell_length_b 12.8826
_cell_length_c 12.8826
_cell_angle_alpha 90.00
_cell_angle_beta 90.00
_cell_angle_gamma 90.00
_symmetry_space_group_name_H-M 'I a -3 d'
_symmetry_Int_Tables_number 230
_symmetry_space_group_name_Hall '-I 4bd 2c 3'
loop_
_atom_site_label
_atom_site_fract_x
_atom_site_fract_y
_atom_site_fract_z
Er1 0.0000 0.2500 0.1250
Pu1 0.0000 0.0000 0.0000
Pu2 0.0000 0.2500 0.3750
H1 0.0002 0.0737 0.1551
```